Record 1
Material: Ac3Zn2SnPt9
Method: DFT, PBE
State: relaxed

ΔE_f: -0.499 eV per atom
Symmetry: P-3m1, No. 164
Fermi-level density of states: 10.6 states/eV/cell

Cell lengths 7.634, 7.634, 6.774 Å; angles 90.00, 90.00, 120.00 degrees
Fractional positions:
Pt1 0.829 0.659 0.685
Pt2 0.829 0.171 0.685
Pt3 0.500 0.000 0.000
Pt4 0.171 0.341 0.315
Pt5 0.341 0.171 0.685
Pt6 0.171 0.829 0.315
Pt7 0.659 0.829 0.315
Pt8 0.000 0.500 0.000
Pt9 0.500 0.500 0.000
Ac1 0.333 0.667 0.660
Ac2 0.000 0.000 0.000
Ac3 0.667 0.333 0.340
Sn1 0.000 0.000 0.500
Zn1 0.333 0.667 0.149
Zn2 0.667 0.333 0.851


Record 2
Material: AcCdPtAu2
Method: DFT, PBE
State: relaxed

ΔE_f: -0.658 eV per atom
Symmetry: Imm2, No. 44
Fermi-level density of states: 2.8 states/eV/cell

Cell lengths 4.115, 4.286, 7.299 Å; angles 107.08, 106.37, 90.00 degrees
Fractional positions:
Cd1 0.192 0.692 0.384
Pt1 0.843 0.843 0.687
Au1 0.048 0.048 0.095
Au2 0.702 0.202 0.404
Ac1 0.427 0.427 0.855


Record 3
Material: ZrMo2C
Method: DFT, PBE
State: relaxed

ΔE_f: 0.910 eV per atom
Symmetry: I-4m2, No. 119
Fermi-level density of states: 1.3 states/eV/cell

Cell lengths 4.576, 4.576, 4.576 Å; angles 127.04, 127.04, 78.18 degrees
Fractional positions:
Mo1 0.250 0.750 0.500
Mo2 0.000 0.000 0.000
Zr1 0.500 0.500 0.000
C1 0.750 0.250 0.500


Record 4
Material: TlSiTc2
Method: DFT, PBE
State: relaxed

Formation energy from raw total energies: 252 meV per atom
Excess energy over the best structure of this formula in the dataset: 117 meV/atom
Symmetry: P2/m, No. 10
Fermi-level density of states: 4.0 states/eV/cell

Cell lengths 3.737, 3.028, 6.168 Å; angles 70.85, 90.00, 90.00 degrees
Fractional positions:
Tc1 0.000 0.906 0.953
Tc2 0.000 0.594 0.547
Tl1 0.500 0.250 0.250
Si1 0.500 0.750 0.750


Record 5
Material: CeNdGaOs
Method: DFT, PBE
State: relaxed

ΔE_f: -0.371 eV per atom
Excess energy over the best structure of this formula in the dataset: 0 meV/atom
Symmetry: Amm2, No. 38
Fermi-level density of states: 3.9 states/eV/cell

Cell lengths 4.161, 3.835, 6.363 Å; angles 90.00, 109.09, 90.00 degrees
Fractional positions:
Os1 0.412 0.000 0.824
Nd1 0.152 0.000 0.305
Ga1 0.562 0.500 0.124
Ce1 0.874 0.500 0.747


Record 6
Material: LiNdEr2Hg4
Method: DFT, PBE
State: relaxed

ΔE_f: -0.438 eV per atom
Symmetry: R-3m, No. 166
Fermi-level density of states: 6.6 states/eV/cell

Cell lengths 5.106, 5.106, 9.264 Å; angles 74.00, 74.00, 60.00 degrees
Fractional positions:
Hg1 0.873 0.873 0.382
Hg2 0.616 0.616 0.153
Hg3 0.127 0.127 0.618
Hg4 0.384 0.384 0.847
Er1 0.757 0.757 0.729
Er2 0.243 0.243 0.271
Li1 0.500 0.500 0.500
Nd1 0.000 0.000 0.000


Record 7
Material: Mg6Tl2Ir
Method: DFT, PBE
State: relaxed

ΔE_f: -0.069 eV per atom
Excess energy over the best structure of this formula in the dataset: 111 meV/atom
Symmetry: C2/m, No. 12
Fermi-level density of states: 2.2 states/eV/cell

Cell lengths 3.350, 8.132, 8.613 Å; angles 118.17, 101.34, 90.00 degrees
Fractional positions:
Mg1 0.841 0.661 0.679
Mg2 0.159 0.982 0.321
Mg3 0.500 0.740 0.000
Mg4 0.841 0.018 0.679
Mg5 0.159 0.339 0.321
Mg6 0.500 0.260 0.000
Tl1 0.341 0.342 0.683
Tl2 0.659 0.658 0.317
Ir1 0.000 0.000 0.000


Record 8
Material: LaPmSn2
Method: DFT, PBE
State: relaxed

ΔE_f: -0.790 eV per atom
Symmetry: Amm2, No. 38
Fermi-level density of states: 3.4 states/eV/cell

Cell lengths 4.735, 4.412, 6.376 Å; angles 90.00, 111.77, 90.00 degrees
Fractional positions:
La1 0.719 0.000 0.978
Sn1 0.170 0.500 0.880
Sn2 0.994 0.000 0.526
Pm1 0.448 0.500 0.435


Record 9
Material: NdSmGa6
Method: DFT, PBE
State: relaxed

ΔE_f: -0.572 eV per atom
Symmetry: P-6m2, No. 187
Fermi-level density of states: 2.8 states/eV/cell

Cell lengths 4.602, 6.422, 6.422 Å; angles 119.99, 90.00, 90.00 degrees
Fractional positions:
Ga1 0.000 0.606 0.962
Ga2 0.500 0.464 0.107
Ga3 0.000 0.038 0.394
Ga4 0.500 0.893 0.536
Ga5 0.500 0.893 0.107
Ga6 0.000 0.606 0.394
Sm1 0.500 0.417 0.583
Nd1 0.000 0.083 0.917


Record 10
Material: SmCd2In2
Method: DFT, PBE
State: relaxed

ΔE_f: -0.019 eV per atom
Symmetry: P6_3/mmc, No. 194
Fermi-level density of states: 7.7 states/eV/cell

Cell lengths 5.151, 5.151, 12.538 Å; angles 90.00, 90.00, 120.00 degrees
Fractional positions:
Cd1 0.667 0.333 0.115
Cd2 0.333 0.667 0.885
Cd3 0.333 0.667 0.615
Cd4 0.667 0.333 0.385
Sm1 0.000 0.000 0.250
Sm2 0.000 0.000 0.750
In1 0.000 0.000 0.000
In2 0.667 0.333 0.750
In3 0.000 0.000 0.500
In4 0.333 0.667 0.250


Record 11
Material: Dy2Cu3Si
Method: DFT, PBE
State: relaxed

Formation energy from raw total energies: -425 meV per atom
Symmetry: Pmm2, No. 25
Fermi-level density of states: 4.0 states/eV/cell

Cell lengths 3.648, 4.132, 7.375 Å; angles 90.00, 90.00, 90.00 degrees
Fractional positions:
Dy1 0.000 0.500 0.002
Dy2 0.000 0.000 0.499
Cu1 0.500 0.000 0.174
Cu2 0.500 0.500 0.657
Cu3 0.500 0.000 0.837
Si1 0.500 0.500 0.331


Record 12
Material: SiNi2Se
Method: DFT, PBE
State: relaxed

Formation energy from raw total energies: -160 meV per atom
Excess energy over the best structure of this formula in the dataset: 142 meV/atom
Symmetry: C2/m, No. 12
Fermi-level density of states: 1.6 states/eV/cell

Cell lengths 3.822, 3.822, 5.680 Å; angles 78.18, 78.18, 43.05 degrees
Fractional positions:
Ni1 0.507 0.507 0.446
Ni2 0.993 0.993 0.054
Si1 0.250 0.250 0.250
Se1 0.750 0.750 0.750